Model 1:
The following is a PBE-GGA calculation of TaHgSe3 after structural relaxation, from Alexandria via LeMat-Bulk.

* volume: 26.7 Å³/atom
* SG: No. 221

Lattice parameters (Å, degrees): 5.113 5.113 5.113 90.00 90.00 90.00
Sites, in units of the cell vectors:
Ta (0.000, 0.000, 0.000)
Hg (0.500, 0.500, 0.500)
Se (0.000, 0.500, 0.500)
Se (0.500, 0.000, 0.500)
Se (0.500, 0.500, 0.000)

---

Model 2:
The following is a PBE-GGA calculation of TaHgSe3 after structural relaxation, from Alexandria via LeMat-Bulk.

* volume: 26.1 Å³/atom
* SG: No. 221

Lattice parameters (Å, degrees): 5.073 5.073 5.073 90.00 90.00 90.00
Sites, in units of the cell vectors:
Ta (0.000, 0.000, 0.000)
Hg (0.500, 0.500, 0.500)
Se (0.000, 0.000, 0.500)
Se (0.000, 0.500, 0.000)
Se (0.500, 0.000, 0.000)

---

Model 3:
The following is a PBE-GGA calculation of TaHgSe3 after structural relaxation, from Alexandria via LeMat-Bulk.

* volume: 28.1 Å³/atom
* SG: No. 11

Lattice parameters (Å, degrees): 6.196 6.116 7.460 90.00 96.77 90.00
Sites, in units of the cell vectors:
Ta (0.000, 0.000, 0.000)
Ta (0.000, 0.500, 0.000)
Hg (0.430, 0.250, 0.590)
Hg (0.570, 0.750, 0.410)
Se (0.048, 0.750, 0.283)
Se (0.243, 0.750, 0.828)
Se (0.304, 0.250, 0.156)
Se (0.696, 0.750, 0.844)
Se (0.757, 0.250, 0.172)
Se (0.952, 0.250, 0.717)

---

Model 4:
The following is a PBE-GGA calculation of TaHgSe3 after structural relaxation, from Alexandria via LeMat-Bulk.

* volume: 27.3 Å³/atom
* SG: No. 1

Lattice parameters (Å, degrees): 5.103 5.104 10.870 89.34 88.76 74.39
Sites, in units of the cell vectors:
Ta (0.000, 0.000, 0.000)
Ta (0.500, 0.500, 0.000)
Hg (0.050, 0.544, 0.526)
Hg (0.457, 0.950, 0.474)
Se (0.004, 0.502, 0.899)
Se (0.143, 0.649, 0.188)
Se (0.357, 0.852, 0.812)
Se (0.495, 0.999, 0.101)
Se (0.660, 0.154, 0.812)
Se (0.840, 0.346, 0.188)

---

Which one is most stable, and which one is least stable? model 4 is the most stable of them, while model 1 is the least stable.

---

Model 1:
The following is a PBE-GGA calculation of Tc2HgSe2 after structural relaxation, from Alexandria via LeMat-Bulk.

* volume: 18.5 Å³/atom
* SG: No. 127

Lattice parameters (Å, degrees): 7.866 7.866 2.983 90.00 90.00 90.00
Sites, in units of the cell vectors:
Tc (0.130, 0.370, 0.000)
Tc (0.370, 0.870, 0.000)
Tc (0.630, 0.130, 0.000)
Tc (0.870, 0.630, 0.000)
Hg (0.000, 0.000, 0.500)
Hg (0.500, 0.500, 0.500)
Se (0.134, 0.634, 0.500)
Se (0.366, 0.134, 0.500)
Se (0.634, 0.866, 0.500)
Se (0.866, 0.366, 0.500)

---

Model 2:
The following is a PBE-GGA calculation of Tc2HgSe2 after structural relaxation, from Alexandria via LeMat-Bulk.

* volume: 26.2 Å³/atom
* SG: No. 139

Lattice parameters (Å, degrees): 9.266 9.266 9.266 156.03 156.03 34.16
Sites, in units of the cell vectors:
Tc (0.250, 0.750, 0.500)
Tc (0.750, 0.250, 0.500)
Hg (0.000, 0.000, 0.000)
Se (0.340, 0.340, 0.000)
Se (0.660, 0.660, 0.000)

---

Which one is most stable, and which one is least stable? model 2 is the most stable of them, while model 1 is the least stable.

---

Model 1:
The following is a PBE-GGA calculation of Hg2TeSe after structural relaxation, from Alexandria via LeMat-Bulk.

* volume: 29.5 Å³/atom
* SG: No. 35

Lattice parameters (Å, degrees): 2.957 2.957 13.483 90.00 90.00 90.12
Sites, in units of the cell vectors:
Hg (0.000, 0.000, 0.000)
Hg (0.500, 0.500, 0.238)
Te (0.000, 0.000, 0.492)
Se (0.500, 0.500, 0.781)

---

Model 2:
The following is a PBE-GGA calculation of Hg2TeSe after structural relaxation, from Alexandria via LeMat-Bulk.

* volume: 30.1 Å³/atom
* SG: No. 8

Lattice parameters (Å, degrees): 4.644 4.644 9.120 104.27 104.27 39.31
Sites, in units of the cell vectors:
Hg (0.000, 0.000, 0.000)
Hg (0.125, 0.125, 0.313)
Te (0.438, 0.438, 0.512)
Se (0.695, 0.695, 0.826)

---

Model 3:
The following is a PBE-GGA calculation of Hg2TeSe after structural relaxation, from Alexandria via LeMat-Bulk.

* volume: 28.8 Å³/atom
* SG: No. 12

Lattice parameters (Å, degrees): 7.241 7.241 4.158 105.43 105.43 33.31
Sites, in units of the cell vectors:
Hg (0.239, 0.239, 0.240)
Hg (0.761, 0.761, 0.760)
Te (0.000, 0.000, 0.000)
Se (0.500, 0.500, 0.500)

---

Model 4:
The following is a PBE-GGA calculation of Hg2TeSe after structural relaxation, from Alexandria via LeMat-Bulk.

* volume: 27.4 Å³/atom
* SG: No. 166

Lattice parameters (Å, degrees): 13.252 13.252 13.252 13.45 13.45 13.45
Sites, in units of the cell vectors:
Hg (0.247, 0.247, 0.247)
Hg (0.753, 0.753, 0.753)
Te (0.000, 0.000, 0.000)
Se (0.500, 0.500, 0.500)

---

Which one is most stable, and which one is least stable? model 3 is the most stable of them, while model 4 is the least stable.

---

Model 1:
The following is a PBE-GGA calculation of Hg2TeSe after structural relaxation, from Alexandria via LeMat-Bulk.

* volume: 29.7 Å³/atom
* SG: No. 44

Lattice parameters (Å, degrees): 5.893 5.893 5.893 140.48 109.08 84.36
Sites, in units of the cell vectors:
Hg (0.000, 0.000, 0.000)
Hg (0.742, 0.242, 0.500)
Te (0.471, 0.471, 0.000)
Se (0.257, 0.757, 0.500)

---

Model 2:
The following is a PBE-GGA calculation of Hg2TeSe after structural relaxation, from Alexandria via LeMat-Bulk.

* volume: 34.6 Å³/atom
* SG: No. 99

Lattice parameters (Å, degrees): 3.843 3.843 9.374 90.00 90.00 90.00
Sites, in units of the cell vectors:
Hg (0.000, 0.000, 0.000)
Hg (0.500, 0.500, 0.225)
Te (0.500, 0.500, 0.662)
Se (0.000, 0.000, 0.575)

---

Which one is most stable, and which one is least stable? model 2 is the most stable of them, while model 1 is the least stable.

---

Model 1:
The following is a PBE-GGA calculation of Hg2TeSe after structural relaxation, from Alexandria via LeMat-Bulk.

* volume: 25.5 Å³/atom
* SG: No. 225

Lattice parameters (Å, degrees): 5.244 5.244 5.244 60.00 60.00 60.00
Sites, in units of the cell vectors:
Hg (0.250, 0.250, 0.250)
Hg (0.750, 0.750, 0.750)
Te (0.000, 0.000, 0.000)
Se (0.500, 0.500, 0.500)

---

Model 2:
The following is a PBE-GGA calculation of Hg2TeSe after structural relaxation, from Alexandria via LeMat-Bulk.

* volume: 29.5 Å³/atom
* SG: No. 65

Lattice parameters (Å, degrees): 5.291 5.291 4.727 90.00 90.00 117.01
Sites, in units of the cell vectors:
Hg (0.000, 0.500, 0.000)
Hg (0.500, 0.000, 0.000)
Te (0.000, 0.000, 0.500)
Se (0.500, 0.500, 0.500)

---

Which one is most stable, and which one is least stable? model 2 is the most stable of them, while model 1 is the least stable.

---

Model 1:
The following is a PBE-GGA calculation of HgTeSe2 after structural relaxation, from Alexandria via LeMat-Bulk.

* volume: 23.7 Å³/atom
* SG: No. 225

Lattice parameters (Å, degrees): 5.117 5.117 5.117 60.00 60.00 60.00
Sites, in units of the cell vectors:
Hg (0.000, 0.000, 0.000)
Te (0.500, 0.500, 0.500)
Se (0.250, 0.250, 0.250)
Se (0.750, 0.750, 0.750)

---

Model 2:
The following is a PBE-GGA calculation of HgTeSe2 after structural relaxation, from Alexandria via LeMat-Bulk.

* volume: 33.8 Å³/atom
* SG: No. 99

Lattice parameters (Å, degrees): 3.870 3.870 9.035 90.00 90.00 90.00
Sites, in units of the cell vectors:
Hg (0.000, 0.000, 0.000)
Te (0.500, 0.500, 0.471)
Se (0.000, 0.000, 0.386)
Se (0.500, 0.500, 0.973)

---

Which one is most stable, and which one is least stable? model 2 is the most stable of them, while model 1 is the least stable.